# PBE+U RbYCo2F, optimized geometry
# DOS(E_F) ... 3.66 states/eV/f.u.
# Space-group type ... P4/mmm (123)
# Total energy ... -16.69 eV per formula unit
data_RbYCo2F
_cell_length_a 5.458
_cell_length_b 5.458
_cell_length_c 4.654
_cell_angle_alpha 90.00
_cell_angle_beta 90.00
_cell_angle_gamma 90.00
_symmetry_space_group_name_H-M 'P 1'
_symmetry_Int_Tables_number 1
loop_
_symmetry_equiv_pos_as_xyz
'x,y,z'
loop_
_atom_site_label
_atom_site_type_symbol
_atom_site_fract_x
_atom_site_fract_y
_atom_site_fract_z
Rb1 Rb 0.000 0.000 0.000
Y1 Y 0.500 0.500 0.500
Co1 Co 0.000 0.500 0.000
Co2 Co 0.500 0.000 0.000
F1 F 0.000 0.000 0.500